No. 1
A plane-wave DFT calculation with PBE was carried out for a relaxed structure of Er2InF7.

Crystal system   orthorhombic
D(E_F)   0.000 states/eV/atom
Symmetry   Cmmm (65)
Formation energy without anion corrections   -3.67 eV per atom
V   17.23 Å³/atom
Magnetization   0.00 μB per atom
VASP energy   -6.162 eV per atom

Lattice parameters (Å, degrees): 6.664 6.664 4.336 90.00 90.00 116.54
Fractional positions:
Er1 0.192 0.808 0.000
Er2 0.808 0.192 0.000
In1 0.500 0.500 0.500
F1 0.000 0.000 0.000
F2 0.165 0.457 0.000
F3 0.202 0.798 0.500
F4 0.457 0.165 0.000
F5 0.543 0.835 0.000
F6 0.798 0.202 0.500
F7 0.835 0.543 0.000

No. 2
A plane-wave DFT calculation with PBE was carried out for a relaxed structure of ErInF.

Crystal system   tetragonal
D(E_F)   0.639 states/eV/atom
Symmetry   P4/nmm (129)
Formation energy without anion corrections   -1.87 eV per atom
V   19.88 Å³/atom
Magnetization   0.00 μB per atom
VASP energy   -4.924 eV per atom

Lattice parameters (Å, degrees): 3.850 3.850 8.047 90.00 90.00 90.00
Fractional positions:
Er1 0.250 0.250 0.182
Er2 0.750 0.750 0.818
In1 0.250 0.250 0.590
In2 0.750 0.750 0.410
F1 0.250 0.750 0.000
F2 0.750 0.250 0.000

No. 3
A plane-wave DFT calculation with PBE was carried out for a relaxed structure of ErIn2F8.

Crystal system   monoclinic
D(E_F)   0.134 states/eV/atom
Symmetry   C2/m (12)
Formation energy without anion corrections   -2.92 eV per atom
V   15.06 Å³/atom
Magnetization   0.00 μB per atom
VASP energy   -5.191 eV per atom

Lattice parameters (Å, degrees): 6.243 6.243 4.523 99.75 99.75 74.05
Fractional positions:
Er1 0.000 0.000 0.000
In1 0.357 0.357 0.696
In2 0.643 0.643 0.304
F1 0.086 0.656 0.770
F2 0.143 0.143 0.704
F3 0.344 0.914 0.230
F4 0.405 0.405 0.228
F5 0.595 0.595 0.772
F6 0.656 0.086 0.770
F7 0.857 0.857 0.296
F8 0.914 0.344 0.230

No. 4
A plane-wave DFT calculation with PBE was carried out for a relaxed structure of ErInF5.

Crystal system   monoclinic
D(E_F)   0.188 states/eV/atom
Symmetry   C2/c (15)
Formation energy without anion corrections   -3.19 eV per atom
V   17.66 Å³/atom
Magnetization   0.00 μB per atom
VASP energy   -5.572 eV per atom

Lattice parameters (Å, degrees): 5.992 5.992 7.560 106.43 106.43 77.76
Fractional positions:
Er1 0.043 0.957 0.750
Er2 0.957 0.043 0.250
In1 0.500 0.500 0.000
In2 0.500 0.500 0.500
F1 0.157 0.828 0.040
F2 0.172 0.843 0.460
F3 0.210 0.282 0.359
F4 0.282 0.210 0.859
F5 0.342 0.658 0.750
F6 0.658 0.342 0.250
F7 0.718 0.790 0.141
F8 0.790 0.718 0.641
F9 0.828 0.157 0.540
F10 0.843 0.172 0.960

No. 5
A plane-wave DFT calculation with PBE was carried out for a relaxed structure of KErIn2F6.

Crystal system   triclinic
D(E_F)   0.000 states/eV/atom
Symmetry   P1 (1)
Formation energy without anion corrections   -2.87 eV per atom
V   20.86 Å³/atom
Magnetization   0.00 μB per atom
VASP energy   -5.111 eV per atom

Lattice parameters (Å, degrees): 6.431 6.449 6.821 91.32 117.28 119.02
Fractional positions:
K1 0.000 0.000 0.000
Er1 0.976 0.477 0.499
In1 0.519 0.289 0.719
In2 0.569 0.802 0.281
F1 0.421 0.626 0.672
F2 0.522 0.288 0.362
F3 0.848 0.201 0.209
F4 0.920 0.160 0.637
F5 0.954 0.751 0.329
F6 0.988 0.637 0.790

No. 6
A plane-wave DFT calculation with PBE was carried out for a relaxed structure of ErZnInF6.

Crystal system   trigonal
D(E_F)   0.000 states/eV/atom
Symmetry   P312 (149)
Formation energy without anion corrections   -2.95 eV per atom
V   18.45 Å³/atom
Magnetization   0.00 μB per atom
VASP energy   -5.146 eV per atom

Lattice parameters (Å, degrees): 5.753 5.753 5.792 90.00 90.00 120.00
Fractional positions:
Er1 0.000 0.000 0.000
Zn1 0.333 0.667 0.000
In1 0.667 0.333 0.500
F1 0.053 0.345 0.197
F2 0.053 0.708 0.803
F3 0.292 0.345 0.803
F4 0.292 0.947 0.197
F5 0.655 0.708 0.197
F6 0.655 0.947 0.803